Entry 1:
SbAs: single point on PBEsol structure, SCAN.

Geometry as CIF:
```
data_SbAs
_chemical_formula_sum 'Sb4 As4'
_cell_length_a 4.009
_cell_length_b 6.073
_cell_length_c 8.202
_cell_angle_alpha 90.00
_cell_angle_beta 90.00
_cell_angle_gamma 90.00
_symmetry_space_group_name_H-M 'P 1'
_symmetry_Int_Tables_number 1
_symmetry_space_group_name_Hall 'P 1'
loop_
_atom_site_label
_atom_site_fract_x
_atom_site_fract_y
_atom_site_fract_z
Sb1 0.750 0.191 0.628
Sb2 0.250 0.809 0.372
Sb3 0.250 0.691 0.872
Sb4 0.750 0.309 0.128
As1 0.750 0.865 0.151
As2 0.750 0.635 0.651
As3 0.250 0.135 0.849
As4 0.250 0.365 0.349
```

## Properties
As for the final energy: -229.28 eV per cell. The energy relative to the elements, uncorrected comes out at 65 meV/atom. As for the energy above the most stable polymorph in this dataset: 10 meV per atom.

Entry 2:
SbAs: single point on PBEsol structure, SCAN.

Geometry as CIF:
```
data_SbAs
_chemical_formula_sum 'Sb2 As2'
_cell_length_a 3.824
_cell_length_b 3.824
_cell_length_c 8.665
_cell_angle_alpha 90.00
_cell_angle_beta 90.00
_cell_angle_gamma 120.00
_symmetry_space_group_name_H-M 'P 1'
_symmetry_Int_Tables_number 1
_symmetry_space_group_name_Hall 'P 1'
loop_
_atom_site_label
_atom_site_fract_x
_atom_site_fract_y
_atom_site_fract_z
Sb1 0.667 0.333 0.330
Sb2 0.333 0.667 0.670
As1 0.333 0.667 0.153
As2 0.667 0.333 0.847
```

## Properties
As for the final energy: -114.58 eV per cell. The energy relative to the elements, uncorrected comes out at 82 meV/atom. As for the energy above the most stable polymorph in this dataset: 27 meV per atom.

Entry 3:
SbAs3: single point on PBEsol structure, SCAN.

Geometry as CIF:
```
data_SbAs3
_chemical_formula_sum 'Sb6 As18'
_cell_length_a 4.198
_cell_length_b 7.799
_cell_length_c 16.852
_cell_angle_alpha 90.00
_cell_angle_beta 90.00
_cell_angle_gamma 90.00
_symmetry_space_group_name_H-M 'P 1'
_symmetry_Int_Tables_number 1
_symmetry_space_group_name_Hall 'P 1'
loop_
_atom_site_label
_atom_site_fract_x
_atom_site_fract_y
_atom_site_fract_z
As1 0.429 0.500 0.500
As2 0.035 0.743 0.500
As3 0.429 0.500 0.167
As4 0.571 0.000 0.333
As5 0.429 0.500 0.833
As6 0.965 0.243 0.333
As7 0.965 0.243 0.667
As8 0.965 0.757 0.000
As9 0.965 0.757 0.667
As10 0.035 0.257 0.833
As11 0.035 0.743 0.167
As12 0.965 0.243 0.000
As13 0.035 0.257 0.500
As14 0.965 0.757 0.333
As15 0.571 0.000 0.667
As16 0.035 0.257 0.167
As17 0.035 0.743 0.833
As18 0.571 0.000 0.000
Sb1 0.539 0.500 0.333
Sb2 0.539 0.500 0.000
Sb3 0.539 0.500 0.667
Sb4 0.461 0.000 0.833
Sb5 0.461 0.000 0.167
Sb6 0.461 0.000 0.500
```

## Properties
As for the final energy: -586.20 eV per cell. The energy relative to the elements, uncorrected comes out at 33 meV/atom. As for the energy above the most stable polymorph in this dataset: 0 meV per atom.

Entry 4:
SbAs2: single point on PBEsol structure, SCAN.

Geometry as CIF:
```
data_SbAs2
_chemical_formula_sum 'Sb2 As4'
_cell_length_a 3.966
_cell_length_b 5.668
_cell_length_c 6.314
_cell_angle_alpha 90.00
_cell_angle_beta 108.30
_cell_angle_gamma 90.00
_symmetry_space_group_name_H-M 'P 1'
_symmetry_Int_Tables_number 1
_symmetry_space_group_name_Hall 'P 1'
loop_
_atom_site_label
_atom_site_fract_x
_atom_site_fract_y
_atom_site_fract_z
As1 0.661 0.750 0.322
As2 0.005 0.750 0.009
As3 0.339 0.250 0.678
As4 0.995 0.250 0.991
Sb1 0.666 0.250 0.332
Sb2 0.334 0.750 0.668
```

## Properties
As for the final energy: -154.71 eV per cell. The energy relative to the elements, uncorrected comes out at 96 meV/atom. As for the energy above the most stable polymorph in this dataset: 55 meV per atom.

Entry 5:
SbAs: single point on PBEsol structure, SCAN.

Geometry as CIF:
```
data_SbAs
_chemical_formula_sum 'Sb1 As1'
_cell_length_a 4.079
_cell_length_b 4.079
_cell_length_c 4.079
_cell_angle_alpha 60.00
_cell_angle_beta 60.00
_cell_angle_gamma 60.00
_symmetry_space_group_name_H-M 'P 1'
_symmetry_Int_Tables_number 1
_symmetry_space_group_name_Hall 'P 1'
loop_
_atom_site_label
_atom_site_fract_x
_atom_site_fract_y
_atom_site_fract_z
As1 0.000 0.000 0.000
Sb1 0.500 0.500 0.500
```

## Properties
As for the final energy: -57.34 eV per cell. The energy relative to the elements, uncorrected comes out at 55 meV/atom. As for the energy above the most stable polymorph in this dataset: 0 meV per atom.

Entry 6:
SbAs2: single point on PBEsol structure, SCAN.

Geometry as CIF:
```
data_SbAs2
_chemical_formula_sum 'Sb2 As4'
_cell_length_a 3.993
_cell_length_b 5.821
_cell_length_c 6.865
_cell_angle_alpha 109.39
_cell_angle_beta 106.91
_cell_angle_gamma 90.00
_symmetry_space_group_name_H-M 'P 1'
_symmetry_Int_Tables_number 1
_symmetry_space_group_name_Hall 'P 1'
loop_
_atom_site_label
_atom_site_fract_x
_atom_site_fract_y
_atom_site_fract_z
Sb1 0.167 0.947 0.333
Sb2 0.833 0.053 0.667
As1 0.156 0.407 0.313
As2 0.522 0.308 0.044
As3 0.844 0.593 0.687
As4 0.478 0.692 0.956
```

## Properties
As for the final energy: -155.04 eV per cell. The energy relative to the elements, uncorrected comes out at 41 meV/atom. As for the energy above the most stable polymorph in this dataset: 0 meV per atom.

Entry 7:
SbAs2: single point on PBEsol structure, SCAN.

Geometry as CIF:
```
data_SbAs2
_chemical_formula_sum 'Sb2 As4'
_cell_length_a 3.521
_cell_length_b 5.031
_cell_length_c 7.813
_cell_angle_alpha 90.00
_cell_angle_beta 103.02
_cell_angle_gamma 90.00
_symmetry_space_group_name_H-M 'P 1'
_symmetry_Int_Tables_number 1
_symmetry_space_group_name_Hall 'P 1'
loop_
_atom_site_label
_atom_site_fract_x
_atom_site_fract_y
_atom_site_fract_z
Sb1 0.894 0.250 0.787
Sb2 0.106 0.750 0.213
As1 0.207 0.250 0.414
As2 0.414 0.750 0.828
As3 0.793 0.750 0.586
As4 0.586 0.250 0.172
```

## Properties
As for the final energy: -153.38 eV per cell. The energy relative to the elements, uncorrected comes out at 317 meV/atom. As for the energy above the most stable polymorph in this dataset: 276 meV per atom.

Entry 8:
Sb3As: single point on PBEsol structure, SCAN.

Geometry as CIF:
```
data_Sb3As
_chemical_formula_sum 'Sb3 As1'
_cell_length_a 4.162
_cell_length_b 4.443
_cell_length_c 5.976
_cell_angle_alpha 90.00
_cell_angle_beta 90.00
_cell_angle_gamma 90.00
_symmetry_space_group_name_H-M 'P 1'
_symmetry_Int_Tables_number 1
_symmetry_space_group_name_Hall 'P 1'
loop_
_atom_site_label
_atom_site_fract_x
_atom_site_fract_y
_atom_site_fract_z
Sb1 0.000 0.816 0.500
Sb2 0.500 0.273 0.000
Sb3 0.500 0.371 0.500
As1 0.000 0.873 0.000
```

## Properties
As for the final energy: -131.84 eV per cell. The energy relative to the elements, uncorrected comes out at 32 meV/atom. As for the energy above the most stable polymorph in this dataset: 0 meV per atom.